VASP calculation (PBE) on an optimized crystal structure of Rb4SbSe4.

a b c (Å): 8.1240 8.1240 9.0315
angles (deg): 116.73 116.73 90.00
Element x y z (fractional)
Rb (0.5000, 0.0000, 0.0000)
Rb (0.0000, 0.5000, 0.0000)
Rb (0.2977, 0.2977, 0.5953)
Rb (0.7023, 0.7023, 0.4047)
Sb (0.0000, 0.0000, 0.0000)
Se (0.6997, 0.6997, 0.7749)
Se (0.3003, 0.9247, 0.2251)
Se (0.0753, 0.0753, 0.7749)
Se (0.9247, 0.3003, 0.2251)

## Properties
The total magnetization comes out at 0.074 μB/atom. As for the total energy: -3.28 eV per atom.